# CdSbCl2

An optimized crystal structure of CdSbCl2 (GGA-PBE, Alexandria).

Calculated values
D(E_F) (states/eV/f.u.): 2.17
Uncorrected formation energy (eV per atom): -0.08

The structure in CIF format:
```
data_CdSbCl2
_cell_length_a 4.6006
_cell_length_b 4.6006
_cell_length_c 9.0047
_cell_angle_alpha 90.00
_cell_angle_beta 90.00
_cell_angle_gamma 90.00
_space_group_name_H-M_alt 'I 4/m m m'
_space_group_IT_number 139
_space_group_name_Hall '-I 4 2'
loop_
_atom_site_label
_atom_site_type_symbol
_atom_site_fract_x
_atom_site_fract_y
_atom_site_fract_z
Cd1 Cd 0.0000 0.0000 0.0000
Sb1 Sb 0.0000 0.0000 0.5000
Cl1 Cl 0.0000 0.5000 0.2500
```



# Cd4Sb3Cl

An optimized crystal structure of Cd4Sb3Cl (GGA-PBE, Alexandria).

Calculated values
D(E_F) (states/eV/f.u.): 3.78
Uncorrected formation energy (eV per atom): -0.12

The structure in CIF format:
```
data_Cd4Sb3Cl
_cell_length_a 7.6246
_cell_length_b 8.6254
_cell_length_c 7.9744
_cell_angle_alpha 90.00
_cell_angle_beta 90.00
_cell_angle_gamma 90.00
_space_group_name_H-M_alt 'P m n 21'
_space_group_IT_number 31
loop_
_space_group_symop_operation_xyz
'x,y,z'
'-x+1/2,-y,z+1/2'
'-x,y,z'
'x+1/2,-y,z+1/2'
loop_
_atom_site_label
_atom_site_type_symbol
_atom_site_fract_x
_atom_site_fract_y
_atom_site_fract_z
Cd1 Cd 0.0000 0.1335 0.0000
Cd2 Cd 0.0000 0.8099 0.4610
Cd3 Cd 0.2378 0.3324 0.4656
Sb1 Sb 0.0000 0.1135 0.3428
Sb2 Sb 0.2070 0.3711 0.8202
Cl1 Cl 0.0000 0.8595 0.8207
```



# CdSbCl

An optimized crystal structure of CdSbCl (GGA-PBE, Alexandria).

Calculated values
D(E_F) (states/eV/f.u.): 0.72
Uncorrected formation energy (eV per atom): -0.26

The structure in CIF format:
```
data_CdSbCl
_cell_length_a 4.0419
_cell_length_b 5.3855
_cell_length_c 14.8565
_cell_angle_alpha 90.00
_cell_angle_beta 90.00
_cell_angle_gamma 90.00
_space_group_name_H-M_alt 'F m m 2'
_space_group_IT_number 42
_space_group_name_Hall 'F 2 -2'
loop_
_atom_site_label
_atom_site_type_symbol
_atom_site_fract_x
_atom_site_fract_y
_atom_site_fract_z
Cd1 Cd 0.0000 0.0000 0.0000
Sb1 Sb 0.0000 0.0000 0.6538
Cl1 Cl 0.0000 0.0000 0.3852
```



# CdSbCl2

An optimized crystal structure of CdSbCl2 (GGA-PBE, Alexandria).

Calculated values
D(E_F) (states/eV/f.u.): 1.42
Uncorrected formation energy (eV per atom): -0.39

The structure in CIF format:
```
data_CdSbCl2
_cell_length_a 3.5501
_cell_length_b 3.5501
_cell_length_c 28.4813
_cell_angle_alpha 90.00
_cell_angle_beta 90.00
_cell_angle_gamma 120.00
_space_group_name_H-M_alt 'R -3 m'
_space_group_IT_number 166
_space_group_name_Hall '-R 3 2"'
loop_
_atom_site_label
_atom_site_type_symbol
_atom_site_fract_x
_atom_site_fract_y
_atom_site_fract_z
Cd1 Cd 0.0000 0.0000 0.0000
Sb1 Sb 0.0000 0.0000 0.5000
Cl1 Cl 0.0000 0.0000 0.4064
```



# Cd4Sb2Cl3

An optimized crystal structure of Cd4Sb2Cl3 (GGA-PBE, Alexandria).

Calculated values
D(E_F) (states/eV/f.u.): 2.69
Uncorrected formation energy (eV per atom): -0.48

The structure in CIF format:
```
data_Cd4Sb2Cl3
_cell_length_a 10.5078
_cell_length_b 13.9685
_cell_length_c 7.9709
_cell_angle_alpha 90.00
_cell_angle_beta 107.36
_cell_angle_gamma 90.00
_space_group_name_H-M_alt 'C 1 2/c 1'
_space_group_IT_number 15
loop_
_space_group_symop_operation_xyz
'x,y,z'
'-x,-y,-z'
'-x,y,-z+1/2'
'x,-y,z+1/2'
'x+1/2,y+1/2,z'
'-x+1/2,-y+1/2,-z'
'-x+1/2,y+1/2,-z+1/2'
'x+1/2,-y+1/2,z+1/2'
loop_
_atom_site_label
_atom_site_type_symbol
_atom_site_fract_x
_atom_site_fract_y
_atom_site_fract_z
Cd1 Cd 0.0965 0.2178 0.0235
Cd2 Cd 0.1858 0.4382 0.5086
Sb1 Sb 0.1568 0.3846 0.8340
Cl1 Cl 0.0000 0.3232 0.2500
Cl2 Cl 0.1221 0.1267 0.6112
```



# CdSbCl2

An optimized crystal structure of CdSbCl2 (GGA-PBE, Alexandria).

Calculated values
D(E_F) (states/eV/f.u.): 0.97
Uncorrected formation energy (eV per atom): -0.14

The structure in CIF format:
```
data_CdSbCl2
_cell_length_a 3.2807
_cell_length_b 4.4637
_cell_length_c 6.5507
_cell_angle_alpha 90.00
_cell_angle_beta 90.00
_cell_angle_gamma 90.00
_space_group_name_H-M_alt 'P m m m'
_space_group_IT_number 47
loop_
_space_group_symop_operation_xyz
'x,y,z'
'-x,-y,-z'
'-x,-y,z'
'x,y,-z'
'x,-y,-z'
'-x,y,z'
'-x,y,-z'
'x,-y,z'
loop_
_atom_site_label
_atom_site_type_symbol
_atom_site_fract_x
_atom_site_fract_y
_atom_site_fract_z
Cd1 Cd 0.0000 0.0000 0.0000
Sb1 Sb 0.0000 0.0000 0.5000
Cl1 Cl 0.5000 0.5000 0.2603
```